Compound: Ac8FeOs2
Source: Alexandria
Functional: PBE
Structure: optimized geometry

Calculated values
Calculated total energy: -5.759 eV/atom
Energy relative to the elements: 0.040 eV/atom
Calculated volume: 435 Å³ per cell

a b c (Å): 8.1029 8.1029 7.3278
angles (deg): 90.51 90.51 64.72
Positions (direct):
Ac 0.1170 0.1170 0.6754
Ac 0.1210 0.6477 0.8318
Ac 0.3523 0.8790 0.1682
Ac 0.3830 0.3830 0.3437
Ac 0.6170 0.6170 0.6563
Ac 0.6477 0.1210 0.8318
Ac 0.8790 0.3523 0.1682
Ac 0.8830 0.8830 0.3246
Fe 0.0000 0.0000 0.0000
Os 0.2546 0.7454 0.5000
Os 0.7454 0.2546 0.5000



Compound: AcFeSi2Os
Source: Alexandria
Functional: PBE
Structure: optimized geometry

Calculated values
Raw formation energy: -55.0 kJ per mole of atoms
Calculated total energy: -7.499 eV/atom
Calculated volume: 183 Å³ per cell

a b c (Å): 4.1893 4.1893 10.4368
angles (deg): 90.00 90.00 90.00
Positions (direct):
Ac 0.0000 0.0000 0.0000
Ac 0.5000 0.5000 0.5000
Fe 0.0000 0.5000 0.2500
Fe 0.5000 0.0000 0.7500
Si 0.0000 0.0000 0.3543
Si 0.0000 0.0000 0.6457
Si 0.5000 0.5000 0.1457
Si 0.5000 0.5000 0.8543
Os 0.0000 0.5000 0.7500
Os 0.5000 0.0000 0.2500



Compound: AcFeP
Source: Alexandria
Functional: PBE
Structure: optimized geometry

Calculated values
Calculated total energy: -6.799 eV/atom
Energy relative to the elements: -0.805 eV/atom
Calculated volume: 252 Å³ per cell

a b c (Å): 5.9128 5.9128 7.3772
angles (deg): 90.00 90.00 77.27
Positions (direct):
Ac 0.1859 0.1859 0.0000
Ac 0.3141 0.3141 0.5000
Ac 0.6859 0.6859 0.5000
Ac 0.8141 0.8141 0.0000
Fe 0.1202 0.8798 0.6203
Fe 0.3798 0.6202 0.1203
Fe 0.6202 0.3798 0.8797
Fe 0.8798 0.1202 0.3797
P 0.1726 0.8274 0.3267
P 0.3274 0.6726 0.8267
P 0.6726 0.3274 0.1733
P 0.8274 0.1726 0.6733



Compound: AcFe2P2
Source: Alexandria
Functional: PBE
Structure: optimized geometry

Calculated values
Calculated total energy: -7.290 eV/atom
Energy relative to the elements: -0.919 eV/atom
Calculated volume: 169 Å³ per cell

a b c (Å): 3.8364 3.8364 11.4545
angles (deg): 90.00 90.00 90.00
Positions (direct):
Ac 0.0000 0.0000 0.0000
Ac 0.5000 0.5000 0.5000
Fe 0.0000 0.5000 0.2500
Fe 0.0000 0.5000 0.7500
Fe 0.5000 0.0000 0.2500
Fe 0.5000 0.0000 0.7500
P 0.0000 0.0000 0.3456
P 0.0000 0.0000 0.6544
P 0.5000 0.5000 0.1544
P 0.5000 0.5000 0.8456



Compound: Ac3FeP
Source: Alexandria
Functional: PBE
Structure: optimized geometry

Calculated values
Calculated total energy: -5.311 eV/atom
Energy relative to the elements: -0.072 eV/atom
Calculated volume: 155 Å³ per cell

a b c (Å): 5.3755 5.3755 5.3755
angles (deg): 90.00 90.00 90.00
Positions (direct):
Ac 0.0000 0.0000 0.5000
Ac 0.0000 0.5000 0.0000
Ac 0.5000 0.0000 0.0000
Fe 0.0000 0.0000 0.0000
P 0.5000 0.5000 0.5000



Compound: AcFe4P12
Source: Alexandria
Functional: PBE
Structure: optimized geometry

Calculated values
Calculated total energy: -6.638 eV/atom
Energy relative to the elements: -0.586 eV/atom
Calculated volume: 243 Å³ per cell

a b c (Å): 6.8076 6.8076 6.8076
angles (deg): 109.47 109.47 109.47
Positions (direct):
Ac 0.0000 0.0000 0.0000
Fe 0.0000 0.0000 0.5000
Fe 0.0000 0.5000 0.0000
Fe 0.5000 0.0000 0.0000
Fe 0.5000 0.5000 0.5000
P 0.1534 0.3550 0.5084
P 0.1534 0.6450 0.7984
P 0.2016 0.8466 0.3550
P 0.3550 0.2016 0.8466
P 0.3550 0.5084 0.1534
P 0.4916 0.8466 0.6450
P 0.5084 0.1534 0.3550
P 0.6450 0.4916 0.8466
P 0.6450 0.7984 0.1534
P 0.7984 0.1534 0.6450
P 0.8466 0.3550 0.2016
P 0.8466 0.6450 0.4916



Compound: AcFe2ReP6
Source: Alexandria
Functional: PBE
Structure: optimized geometry

Calculated values
Calculated total energy: -6.897 eV/atom
Energy relative to the elements: -0.303 eV/atom
Calculated volume: 193 Å³ per cell

a b c (Å): 6.3508 6.3508 6.3508
angles (deg): 63.02 63.02 63.02
Positions (direct):
Ac 0.0000 0.0000 0.0000
Fe 0.3191 0.3191 0.3191
Fe 0.6809 0.6809 0.6809
Re 0.5000 0.5000 0.5000
P 0.0812 0.6375 0.4984
P 0.3625 0.5016 0.9188
P 0.4984 0.0812 0.6375
P 0.5016 0.9188 0.3625
P 0.6375 0.4984 0.0812
P 0.9188 0.3625 0.5016



Compound: AcFeReP2
Source: Alexandria
Functional: PBE
Structure: optimized geometry

Calculated values
Calculated total energy: -7.911 eV/atom
Energy relative to the elements: -0.743 eV/atom
Calculated volume: 183 Å³ per cell

a b c (Å): 4.0108 4.0108 11.3742
angles (deg): 90.00 90.00 90.00
Positions (direct):
Ac 0.0000 0.0000 0.0000
Ac 0.5000 0.5000 0.5000
Fe 0.0000 0.5000 0.2500
Fe 0.5000 0.0000 0.7500
Re 0.0000 0.5000 0.7500
Re 0.5000 0.0000 0.2500
P 0.0000 0.0000 0.3502
P 0.0000 0.0000 0.6498
P 0.5000 0.5000 0.1498
P 0.5000 0.5000 0.8502



Calculated DOS at the Fermi energy in order - 0.9383 0.6405 0.3919 0.8764 0.8957 0.7055 0.8200 0.7685 states/eV per atom
Calculated M_tot in order - 0.00 0.00 0.00 0.00 0.00 0.00 0.00 0.00 μB per atom